# 1
# GdY3

A relaxed GdY3 crystal (PBE, Alexandria).

```
GdY3
1.0
6.199 -0.013 0.000
2.080 5.840 0.000
-4.140 -2.913 3.579
Gd Y
1 3
Direct
0.000 0.000 0.000
0.750 0.250 0.500
0.250 0.750 0.500
0.500 0.500 0.000
```

Properties
Magnetic moment, μB/f.u.: 7.21
Electronic total energy, eV for the cell shown: -33.39
Calculated density, Mg/m³: 5.4
Relative energy among the computed polymorphs, eV per atom: 0.023
Formation energy from the elements, kJ per mole of atoms: 2
Space-group type: I4/mmm

***

# 2
# GdY

A relaxed GdY crystal (PBE, Alexandria).

```
GdY
1.0
-1.703 2.838 -2.302
1.481 -1.786 -3.297
-3.340 -2.239 -0.288
Y Gd
1 1
Direct
0.000 0.000 0.000
0.500 0.500 0.500
```

Properties
Magnetic moment, μB/f.u.: 7.87
Electronic total energy, eV for the cell shown: -20.35
Calculated density, Mg/m³: 6.2
Relative energy among the computed polymorphs, eV per atom: 0.073
Formation energy from the elements, kJ per mole of atoms: 9
Space-group type: Pm-3m

***

# 3
# Gd5Y

A relaxed Gd5Y crystal (PBE, Alexandria).

```
Gd5Y
1.0
-1.427 -2.657 1.832
4.484 0.265 3.877
-7.163 6.139 3.326
Y Gd
1 5
Direct
0.000 0.000 0.000
0.000 0.827 0.654
0.000 0.173 0.346
0.500 0.500 0.000
0.500 0.675 0.350
0.500 0.325 0.650
```

Properties
Magnetic moment, μB/f.u.: 23.20
Electronic total energy, eV for the cell shown: -75.23
Calculated density, Mg/m³: 7.3
Formation energy from the elements, kJ per mole of atoms: 26
Space-group type: Cmmm

***

# 4
# GdY3

A relaxed GdY3 crystal (PBE, Alexandria).

```
GdY3
1.0
-2.004 -1.993 -2.283
-0.234 -4.229 3.897
-5.250 2.514 2.413
Y Gd
3 1
Direct
0.000 0.500 0.334
0.500 0.000 0.501
0.500 0.500 0.833
0.000 0.000 0.000
```

Properties
Magnetic moment, μB/f.u.: 8.60
Electronic total energy, eV for the cell shown: -33.47
Calculated density, Mg/m³: 5.3
Relative energy among the computed polymorphs, eV per atom: 0.002
Formation energy from the elements, kJ per mole of atoms: 0
Space-group type: Pmm2

***

# 5
# GdY5

A relaxed GdY5 crystal (PBE, Alexandria).

```
GdY5
1.0
5.062 0.000 0.000
0.000 5.059 0.000
0.000 -2.530 7.590
Y Gd
5 1
Direct
0.000 0.667 0.335
0.000 0.333 0.665
0.500 0.500 0.000
0.500 0.166 0.333
0.500 0.834 0.667
0.000 0.000 0.000
```

Properties
Magnetic moment, μB/f.u.: 7.17
Electronic total energy, eV for the cell shown: -46.28
Calculated density, Mg/m³: 5.1
Formation energy from the elements, kJ per mole of atoms: 2
Space-group type: Cmmm

***

# 6
# GdY3

A relaxed GdY3 crystal (PBE, Alexandria).

```
GdY3
1.0
5.059 0.000 0.000
0.000 5.059 0.000
0.000 0.000 5.059
Y Gd
3 1
Direct
0.500 0.000 0.500
0.000 0.500 0.500
0.500 0.500 0.000
0.000 0.000 0.000
```

Properties
Magnetic moment, μB/f.u.: 7.04
Electronic total energy, eV for the cell shown: -33.37
Calculated density, Mg/m³: 5.4
Relative energy among the computed polymorphs, eV per atom: 0.027
Formation energy from the elements, kJ per mole of atoms: 2
Space-group type: Pm-3m

***

# 7
# GdY3

A relaxed GdY3 crystal (PBE, Alexandria).

```
GdY3
1.0
-4.924 2.246 1.843
-4.667 -3.279 0.395
-2.054 -1.442 5.137
Y Gd
3 1
Direct
0.000 0.000 0.000
0.750 0.750 0.750
0.250 0.250 0.250
0.500 0.500 0.500
```

Properties
Magnetic moment, μB/f.u.: 8.87
Electronic total energy, eV for the cell shown: -33.03
Calculated density, Mg/m³: 5.3
Relative energy among the computed polymorphs, eV per atom: 0.113
Formation energy from the elements, kJ per mole of atoms: 11
Space-group type: Fm-3m

***

# 8
# GdYZn

A relaxed GdYZn crystal (PBE, Alexandria).

```
GdYZn
1.0
3.691 0.000 0.000
0.000 5.009 0.000
0.000 -2.505 4.338
Y Zn Gd
1 1 1
Direct
0.068 0.000 0.000
0.323 0.333 0.667
0.609 0.667 0.333
```

Properties
Magnetic moment, μB/f.u.: 7.36
Electronic total energy, eV for the cell shown: -21.97
Calculated density, Mg/m³: 6.5
Relative energy among the computed polymorphs, eV per atom: 0.173
Formation energy from the elements, kJ per mole of atoms: -5
Space-group type: P3m1

***

# 9
# Gd2YZn

A relaxed Gd2YZn crystal (PBE, Alexandria).

```
Gd2YZn
1.0
-1.392 3.168 3.366
0.583 -3.316 3.362
4.518 1.375 0.574
Y Zn Gd
1 1 2
Direct
0.500 0.000 0.000
0.500 0.500 0.500
0.000 0.000 0.500
0.000 0.500 0.000
```

Properties
Magnetic moment, μB/f.u.: 15.46
Electronic total energy, eV for the cell shown: -36.09
Calculated density, Mg/m³: 7.1
Relative energy among the computed polymorphs, eV per atom: 0.108
Formation energy from the elements, kJ per mole of atoms: -4
Space-group type: P4/mmm

***

# 10
# GdYZn

A relaxed GdYZn crystal (PBE, Alexandria).

```
GdYZn
1.0
-0.150 -3.403 -1.163
-0.012 -1.164 3.406
-6.059 2.532 -1.058
Y Zn Gd
1 1 1
Direct
0.310 0.310 0.621
0.669 0.669 0.338
0.021 0.021 0.041
```

Properties
Magnetic moment, μB/f.u.: 7.92
Electronic total energy, eV for the cell shown: -22.49
Calculated density, Mg/m³: 6.5
Relative energy among the computed polymorphs, eV per atom: 0.000
Formation energy from the elements, kJ per mole of atoms: -22
Space-group type: I4mm

***

# 11
# Gd2YZn

A relaxed Gd2YZn crystal (PBE, Alexandria).

```
Gd2YZn
1.0
3.490 0.000 0.000
1.745 3.022 0.000
1.745 1.007 11.840
Y Zn Gd
1 1 2
Direct
0.500 0.500 0.500
0.000 0.000 0.000
0.086 0.086 0.742
0.914 0.914 0.258
```

Properties
Magnetic moment, μB/f.u.: 14.96
Electronic total energy, eV for the cell shown: -34.85
Calculated density, Mg/m³: 6.2
Relative energy among the computed polymorphs, eV per atom: 0.417
Formation energy from the elements, kJ per mole of atoms: 25
Space-group type: R-3m

***

# 12
# Gd2YZn

A relaxed Gd2YZn crystal (PBE, Alexandria).

```
Gd2YZn
1.0
-1.304 -1.747 2.862
3.173 0.349 1.659
-2.620 7.558 3.420
Y Zn Gd
1 1 2
Direct
0.500 0.500 0.500
0.500 0.500 0.000
0.000 0.000 0.794
0.000 0.000 0.206
```

Properties
Magnetic moment, μB/f.u.: 14.42
Electronic total energy, eV for the cell shown: -36.52
Calculated density, Mg/m³: 6.9
Relative energy among the computed polymorphs, eV per atom: 0.000
Formation energy from the elements, kJ per mole of atoms: -15
Space-group type: P4/mmm

***

# 13
# GdYZn4

A relaxed GdYZn4 crystal (PBE, Alexandria).

```
GdYZn4
1.0
5.485 0.000 0.000
2.742 4.750 0.000
2.742 1.583 4.478
Y Zn Gd
1 4 1
Direct
0.000 0.000 0.000
0.625 0.625 0.125
0.625 0.125 0.625
0.625 0.625 0.625
0.125 0.625 0.625
0.250 0.250 0.250
```

Properties
Magnetic moment, μB/f.u.: 7.07
Electronic total energy, eV for the cell shown: -27.68
Calculated density, Mg/m³: 7.2
Formation energy from the elements, kJ per mole of atoms: -33
Space-group type: F-43m

***

# 14
# Gd2YZr

A relaxed Gd2YZr crystal (PBE, Alexandria).

```
Gd2YZr
1.0
3.381 0.000 0.000
1.690 2.928 0.000
1.690 0.976 12.034
Y Gd Zr
1 2 1
Direct
0.500 0.500 0.500
0.086 0.086 0.743
0.914 0.914 0.257
0.000 0.000 0.000
```

Properties
Magnetic moment, μB/f.u.: 14.78
Electronic total energy, eV for the cell shown: -41.95
Calculated density, Mg/m³: 6.9
Relative energy among the computed polymorphs, eV per atom: 0.221
Formation energy from the elements, kJ per mole of atoms: 30
Space-group type: R-3m

***

# 15
# GdYZr2

A relaxed GdYZr2 crystal (PBE, Alexandria).

```
GdYZr2
1.0
-2.503 -3.990 -2.269
-2.484 -3.538 2.940
-5.495 0.011 0.019
Y Gd Zr
1 1 2
Direct
0.500 0.500 0.500
0.000 0.000 0.000
0.271 0.271 0.187
0.729 0.729 0.813
```

Properties
Magnetic moment, μB/f.u.: 7.46
Electronic total energy, eV for the cell shown: -36.61
Calculated density, Mg/m³: 6.5
Relative energy among the computed polymorphs, eV per atom: 0.124
Formation energy from the elements, kJ per mole of atoms: 25
Space-group type: R-3m

***

# 16
# Gd2YZr

A relaxed Gd2YZr crystal (PBE, Alexandria).

```
Gd2YZr
1.0
-3.606 3.311 0.090
-2.120 -2.409 3.686
2.537 2.676 3.207
Y Gd Zr
1 2 1
Direct
0.500 0.500 0.500
0.000 0.000 0.500
0.000 0.500 0.000
0.500 0.000 0.000
```

Properties
Magnetic moment, μB/f.u.: 14.01
Electronic total energy, eV for the cell shown: -42.74
Calculated density, Mg/m³: 7.0
Relative energy among the computed polymorphs, eV per atom: 0.022
Formation energy from the elements, kJ per mole of atoms: 10
Space-group type: P4/mmm

***

# 17
# Gd2YZr

A relaxed Gd2YZr crystal (PBE, Alexandria).

```
Gd2YZr
1.0
5.528 0.000 0.000
2.764 4.787 0.000
2.764 1.596 4.514
Y Gd Zr
1 2 1
Direct
0.000 0.000 0.000
0.250 0.250 0.250
0.750 0.750 0.750
0.500 0.500 0.500
```

Properties
Magnetic moment, μB/f.u.: 16.78
Electronic total energy, eV for the cell shown: -42.45
Calculated density, Mg/m³: 6.9
Relative energy among the computed polymorphs, eV per atom: 0.095
Formation energy from the elements, kJ per mole of atoms: 17
Space-group type: Fm-3m

***

# 18
# GdYZr2

A relaxed GdYZr2 crystal (PBE, Alexandria).

```
GdYZr2
1.0
-1.223 4.470 -1.391
-4.546 -1.239 0.015
-0.342 1.311 4.512
Y Gd Zr
1 1 2
Direct
0.500 0.500 0.500
0.500 0.000 0.000
0.000 0.000 0.500
0.000 0.500 0.000
```

Properties
Magnetic moment, μB/f.u.: 7.13
Electronic total energy, eV for the cell shown: -37.10
Calculated density, Mg/m³: 6.6
Relative energy among the computed polymorphs, eV per atom: 0.000
Formation energy from the elements, kJ per mole of atoms: 13
Space-group type: P4/mmm

***

# 19
# Gd2YZr

A relaxed Gd2YZr crystal (PBE, Alexandria).

```
Gd2YZr
1.0
3.441 0.000 0.000
0.000 3.441 0.000
0.000 0.000 9.956
Y Gd Zr
1 2 1
Direct
0.500 0.500 0.500
0.000 0.000 0.769
0.000 0.000 0.231
0.500 0.500 0.000
```

Properties
Magnetic moment, μB/f.u.: 14.32
Electronic total energy, eV for the cell shown: -42.83
Calculated density, Mg/m³: 7.0
Relative energy among the computed polymorphs, eV per atom: 0.000
Formation energy from the elements, kJ per mole of atoms: 8
Space-group type: P4/mmm

***

# 20
# YbGd3

A relaxed YbGd3 crystal (PBE, Alexandria).

```
YbGd3
1.0
3.631 -6.289 0.000
3.631 6.289 0.000
0.000 0.000 5.828
Yb Gd
2 6
Direct
0.333 0.667 0.750
0.667 0.333 0.250
0.165 0.330 0.250
0.670 0.835 0.250
0.165 0.835 0.250
0.835 0.670 0.750
0.330 0.165 0.750
0.835 0.165 0.750
```

Properties
Magnetic moment, μB/f.u.: 23.27
Electronic total energy, eV for the cell shown: -87.65
Calculated density, Mg/m³: 8.0
Formation energy from the elements, kJ per mole of atoms: -1
Space-group type: P6_3/mmc

***

# 21
# GdZn2

A relaxed GdZn2 crystal (PBE, Alexandria).

```
GdZn2
1.0
-1.794 -0.720 2.645
1.633 -2.819 0.340
3.891 4.375 1.801
Zn Gd
2 1
Direct
0.686 0.686 0.372
0.314 0.314 0.628
0.000 0.000 0.000
```

Properties
Magnetic moment, μB/f.u.: 7.35
Electronic total energy, eV for the cell shown: -17.26
Calculated density, Mg/m³: 7.9
Formation energy from the elements, kJ per mole of atoms: -20
Space-group type: I4/mmm

***

# 22
# Gd2Zn17

A relaxed Gd2Zn17 crystal (PBE, Alexandria).

```
Gd2Zn17
1.0
6.802 -0.007 -0.007
0.868 6.747 -0.007
0.868 0.763 6.703
Gd Zn
2 17
Direct
0.664 0.664 0.664
0.336 0.336 0.336
0.352 0.352 0.838
0.704 0.296 0.000
0.296 0.000 0.704
0.838 0.352 0.352
0.648 0.648 0.162
0.352 0.838 0.352
0.000 0.704 0.296
0.648 0.162 0.648
0.162 0.648 0.648
0.000 0.000 0.500
0.296 0.704 0.000
0.100 0.100 0.100
0.704 0.000 0.296
0.500 0.000 0.000
0.900 0.900 0.900
0.000 0.500 0.000
0.000 0.296 0.704
```

Properties
Magnetic moment, μB/f.u.: 14.09
Electronic total energy, eV for the cell shown: -54.37
Calculated density, Mg/m³: 7.7
Formation energy from the elements, kJ per mole of atoms: -23
Space-group type: R-3m

***

# 23
# GdZn2

A relaxed GdZn2 crystal (PBE, Alexandria).

```
GdZn2
1.0
-3.926 -1.697 -3.455
1.285 -3.271 -4.229
-1.588 -5.264 0.014
Zn Gd
4 2
Direct
0.125 0.625 0.625
0.625 0.125 0.625
0.625 0.625 0.625
0.625 0.625 0.125
0.000 0.000 0.000
0.250 0.250 0.250
```

Properties
Magnetic moment, μB/f.u.: 7.14
Electronic total energy, eV for the cell shown: -35.26
Calculated density, Mg/m³: 8.1
Formation energy from the elements, kJ per mole of atoms: -32
Space-group type: Fd-3m

***

# 24
# Gd3Zn

A relaxed Gd3Zn crystal (PBE, Alexandria).

```
Gd3Zn
1.0
4.759 0.000 0.000
0.000 4.806 0.000
0.000 0.000 4.759
Zn Gd
1 3
Direct
0.000 0.000 0.833
0.000 0.500 0.334
0.500 0.500 0.833
0.500 0.000 0.333
```

Properties
Magnetic moment, μB/f.u.: 7.47
Electronic total energy, eV for the cell shown: -43.68
Calculated density, Mg/m³: 8.2
Relative energy among the computed polymorphs, eV per atom: 0.000
Formation energy from the elements, kJ per mole of atoms: -4
Space-group type: P4/mmm

***

# 25
# Gd6Zn23

A relaxed Gd6Zn23 crystal (PBE, Alexandria).

```
Gd6Zn23
1.0
-6.699 5.826 -1.664
-6.036 1.903 6.445
0.005 8.131 3.933
Gd Zn
6 23
Direct
0.709 0.709 0.291
0.291 0.709 0.291
0.709 0.291 0.291
0.291 0.291 0.709
0.709 0.291 0.709
0.291 0.709 0.709
0.000 0.000 0.000
0.000 0.000 0.500
0.500 0.000 0.500
0.000 0.500 0.500
0.500 0.500 0.000
0.000 0.500 0.000
0.500 0.000 0.000
0.877 0.877 0.370
0.877 0.370 0.877
0.370 0.877 0.877
0.877 0.877 0.877
0.123 0.123 0.630
0.123 0.630 0.123
0.630 0.123 0.123
0.123 0.123 0.123
0.672 0.672 0.984
0.672 0.984 0.672
0.984 0.672 0.672
0.672 0.672 0.672
0.328 0.328 0.016
0.328 0.016 0.328
0.016 0.328 0.328
0.328 0.328 0.328
```

Properties
Magnetic moment, μB/f.u.: 42.83
Electronic total energy, eV for the cell shown: -122.48
Calculated density, Mg/m³: 7.8
Formation energy from the elements, kJ per mole of atoms: -29
Space-group type: Fm-3m

***

# 26
# GdZn5

A relaxed GdZn5 crystal (PBE, Alexandria).

```
GdZn5
1.0
-1.209 -1.458 4.000
-0.424 -4.018 -1.593
5.613 0.946 2.041
Zn Gd
5 1
Direct
0.000 0.686 0.372
0.000 0.314 0.628
0.500 0.500 0.000
0.500 0.176 0.351
0.500 0.824 0.649
0.000 0.000 0.000
```

Properties
Magnetic moment, μB/f.u.: 7.20
Electronic total energy, eV for the cell shown: -21.34
Calculated density, Mg/m³: 7.4
Formation energy from the elements, kJ per mole of atoms: -14
Space-group type: Cmmm

***

# 27
# GdZn3

A relaxed GdZn3 crystal (PBE, Alexandria).

```
GdZn3
1.0
-0.833 1.339 -4.053
-0.594 -4.091 -1.230
-4.133 0.313 0.953
Zn Gd
3 1
Direct
0.000 0.000 0.916
0.500 0.000 0.419
0.500 0.500 0.916
0.000 0.500 0.416
```

Properties
Magnetic moment, μB/f.u.: 7.78
Electronic total energy, eV for the cell shown: -18.68
Calculated density, Mg/m³: 7.4
Formation energy from the elements, kJ per mole of atoms: -19
Space-group type: Pmm2

***

# 28
# Gd3Zn

A relaxed Gd3Zn crystal (PBE, Alexandria).

```
Gd3Zn
1.0
5.356 0.000 0.000
2.678 4.638 0.000
2.678 1.546 4.373
Zn Gd
1 3
Direct
0.500 0.500 0.500
0.000 0.000 0.000
0.750 0.750 0.750
0.250 0.250 0.250
```

Properties
Magnetic moment, μB/f.u.: 23.31
Electronic total energy, eV for the cell shown: -43.41
Calculated density, Mg/m³: 8.2
Relative energy among the computed polymorphs, eV per atom: 0.068
Formation energy from the elements, kJ per mole of atoms: 3
Space-group type: Fm-3m